Below is a geometry-optimized As2AuSeS structure, with properties calculated at the PBE-GGA level.

Structure (CIF):
```
data_As2AuSeS
_chemical_formula_sum 'As2 Au1 Se1 S1'
_cell_length_a 4.845
_cell_length_b 4.845
_cell_length_c 4.742
_cell_angle_alpha 90.00
_cell_angle_beta 90.00
_cell_angle_gamma 90.00
_symmetry_space_group_name_H-M 'P 4/m m m'
_symmetry_Int_Tables_number 123
_symmetry_space_group_name_Hall '-P 4 2'
loop_
_atom_site_label
_atom_site_fract_x
_atom_site_fract_y
_atom_site_fract_z
_atom_site_occupancy
As1 0.000 0.500 0.000 1
Au1 0.000 0.000 0.500 1
Se1 0.500 0.500 0.500 1
S1 0.500 0.500 0.000 1
```

Computed properties:
The calculation puts the density of states at the Fermi level at 1.048 states/eV per atom. Its spin magnetization is 0.0 μB per formula unit. The value obtained for the energy above the most stable polymorph in this dataset is 0.000 eV per atom.

Below is a geometry-optimized Zr4ZnRe structure, with properties calculated at the PBE-GGA level.

Structure (CIF):
```
data_Zr4ZnRe
_chemical_formula_sum 'Zr8 Zn2 Re2'
_cell_length_a 8.159
_cell_length_b 4.697
_cell_length_c 7.656
_cell_angle_alpha 90.00
_cell_angle_beta 110.66
_cell_angle_gamma 90.00
_symmetry_space_group_name_H-M 'C 1 2/m 1'
_symmetry_Int_Tables_number 12
_symmetry_space_group_name_Hall '-C 2y'
loop_
_atom_site_label
_atom_site_fract_x
_atom_site_fract_y
_atom_site_fract_z
_atom_site_occupancy
Zr1 0.123 0.000 0.368 1
Zr2 0.131 0.500 0.892 1
Zn1 0.000 0.500 0.500 1
Re1 0.000 0.000 0.000 1
```

Computed properties:
As for the formation energy from the elements: 147 meV per atom. The calculation puts the density of states at the Fermi level at 1.362 states/eV per atom. Its spin magnetization is 0.0 μB per formula unit. The value obtained for the energy above the most stable polymorph in this dataset is 0.000 eV per atom.

Below is a geometry-optimized AcPr2Y structure, with properties calculated at the PBE-GGA level.

Structure (CIF):
```
data_AcPr2Y
_chemical_formula_sum 'Ac3 Pr6 Y3'
_cell_length_a 3.7647
_cell_length_b 3.7647
_cell_length_c 36.5691
_cell_angle_alpha 90.00
_cell_angle_beta 90.00
_cell_angle_gamma 120.00
_symmetry_space_group_name_H-M 'R 3 m'
_symmetry_Int_Tables_number 160
_symmetry_space_group_name_Hall 'R 3 -2"'
loop_
_atom_site_label
_atom_site_fract_x
_atom_site_fract_y
_atom_site_fract_z
_atom_site_occupancy
Ac1 0.0000 0.0000 0.0000 1
Pr1 0.0000 0.0000 0.2460 1
Pr2 0.0000 0.0000 0.4200 1
Y1 0.0000 0.0000 0.8332 1
```

Computed properties:
As for the formation energy from the elements: 37 meV per atom. The calculation puts the density of states at the Fermi level at 1.429 states/eV per atom. Its spin magnetization is 0.0 μB per formula unit. The value obtained for the energy above the most stable polymorph in this dataset is 0.021 eV per atom.

Below is a geometry-optimized Mn5AlCo6 structure, with properties calculated at the PBE-GGA level.

Structure (CIF):
```
data_Mn5AlCo6
_chemical_formula_sum 'Mn10 Al2 Co12'
_cell_length_a 4.031
_cell_length_b 12.104
_cell_length_c 5.700
_cell_angle_alpha 90.00
_cell_angle_beta 90.00
_cell_angle_gamma 90.00
_symmetry_space_group_name_H-M 'C m m m'
_symmetry_Int_Tables_number 65
_symmetry_space_group_name_Hall '-C 2 2'
loop_
_atom_site_label
_atom_site_fract_x
_atom_site_fract_y
_atom_site_fract_z
_atom_site_occupancy
Mn1 0.000 0.000 0.000 1
Mn2 0.000 0.333 0.000 1
Mn3 0.000 0.336 0.500 1
Al1 0.000 0.000 0.500 1
Co1 0.000 0.169 0.248 1
Co2 0.000 0.500 0.243 1
```

Computed properties:
As for the formation energy from the elements: -117 meV per atom. The calculation puts the density of states at the Fermi level at 0.744 states/eV per atom. Its spin magnetization is 20.1 μB per formula unit.

Below is a geometry-optimized Pm7Y12Cd structure, with properties calculated at the PBE-GGA level.

Structure (CIF):
```
data_Pm7Y12Cd
_chemical_formula_sum 'Pm21 Y36 Cd3'
_cell_length_a 11.9712
_cell_length_b 11.9712
_cell_length_c 16.1903
_cell_angle_alpha 90.00
_cell_angle_beta 90.00
_cell_angle_gamma 120.00
_symmetry_space_group_name_H-M 'R -3'
_symmetry_Int_Tables_number 148
_symmetry_space_group_name_Hall '-R 3'
loop_
_atom_site_label
_atom_site_fract_x
_atom_site_fract_y
_atom_site_fract_z
_atom_site_occupancy
Pm1 0.0000 0.0000 0.0000 1
Pm2 0.0622 0.8751 0.2899 1
Y1 0.0408 0.5784 0.2187 1
Y2 0.0564 0.4750 0.5842 1
Cd1 0.0000 0.0000 0.5000 1
```

Computed properties:
As for the formation energy from the elements: 174 meV per atom. The calculation puts the density of states at the Fermi level at 1.513 states/eV per atom. Its spin magnetization is 0.0 μB per formula unit.

Below is a geometry-optimized TbGdNi structure, with properties calculated at the PBE-GGA level.

Structure (CIF):
```
data_TbGdNi
_chemical_formula_sum 'Tb4 Gd4 Ni4'
_cell_length_a 6.752
_cell_length_b 6.752
_cell_length_c 6.752
_cell_angle_alpha 90.00
_cell_angle_beta 90.00
_cell_angle_gamma 90.00
_symmetry_space_group_name_H-M 'F -4 3 m'
_symmetry_Int_Tables_number 216
_symmetry_space_group_name_Hall 'F -4 2 3'
loop_
_atom_site_label
_atom_site_fract_x
_atom_site_fract_y
_atom_site_fract_z
_atom_site_occupancy
Tb1 0.000 0.000 0.000 1
Gd1 0.000 0.000 0.500 1
Ni1 0.250 0.250 0.250 1
```

Computed properties:
As for the formation energy from the elements: -133 meV per atom. The calculation puts the density of states at the Fermi level at 1.059 states/eV per atom. Its spin magnetization is 7.2 μB per formula unit. The value obtained for the energy above the most stable polymorph in this dataset is 0.085 eV per atom.

Below is a geometry-optimized La3GaO structure, with properties calculated at the PBE-GGA level.

Structure (CIF):
```
data_La3GaO
_chemical_formula_sum 'La12 Ga4 O4'
_cell_length_a 13.829
_cell_length_b 4.410
_cell_length_c 9.660
_cell_angle_alpha 90.00
_cell_angle_beta 98.17
_cell_angle_gamma 90.00
_symmetry_space_group_name_H-M 'C 1 2/m 1'
_symmetry_Int_Tables_number 12
_symmetry_space_group_name_Hall '-C 2y'
loop_
_atom_site_label
_atom_site_fract_x
_atom_site_fract_y
_atom_site_fract_z
_atom_site_occupancy
La1 0.040 0.000 0.332 1
La2 0.145 0.500 0.940 1
La3 0.248 0.000 0.667 1
Ga1 0.098 0.500 0.571 1
O1 0.208 0.000 0.904 1
```

Computed properties:
Its total energy is -117.7 eV/cell. The calculation puts the density of states at the Fermi level at 0.904 states/eV per atom. Its spin magnetization is 0.0 μB per formula unit.

Below is a geometry-optimized Pm5ThPb4 structure, with properties calculated at the PBE-GGA level.

Structure (CIF):
```
data_Pm5ThPb4
_chemical_formula_sum 'Pm10 Th2 Pb8'
_cell_length_a 16.702
_cell_length_b 5.556
_cell_length_c 7.288
_cell_angle_alpha 90.00
_cell_angle_beta 90.38
_cell_angle_gamma 90.00
_symmetry_space_group_name_H-M 'C 1 2/m 1'
_symmetry_Int_Tables_number 12
_symmetry_space_group_name_Hall '-C 2y'
loop_
_atom_site_label
_atom_site_fract_x
_atom_site_fract_y
_atom_site_fract_z
_atom_site_occupancy
Pm1 0.000 0.000 0.000 1
Pm2 0.166 0.500 0.506 1
Pm3 0.167 0.500 0.990 1
Th1 0.000 0.000 0.500 1
Pb1 0.009 0.500 0.246 1
Pb2 0.176 0.000 0.750 1
```

Computed properties:
As for the formation energy from the elements: -319 meV per atom. The calculation puts the density of states at the Fermi level at 0.734 states/eV per atom. Its spin magnetization is 0.0 μB per formula unit.

Below is a geometry-optimized Tb3Pm2Tl2 structure, with properties calculated at the PBE-GGA level.

Structure (CIF):
```
data_Tb3Pm2Tl2
_chemical_formula_sum 'Tb6 Pm4 Tl4'
_cell_length_a 9.474
_cell_length_b 5.479
_cell_length_c 8.764
_cell_angle_alpha 90.00
_cell_angle_beta 111.21
_cell_angle_gamma 90.00
_symmetry_space_group_name_H-M 'C 1 2/m 1'
_symmetry_Int_Tables_number 12
_symmetry_space_group_name_Hall '-C 2y'
loop_
_atom_site_label
_atom_site_fract_x
_atom_site_fract_y
_atom_site_fract_z
_atom_site_occupancy
Tb1 0.000 0.000 0.000 1
Tb2 0.154 0.000 0.461 1
Pm1 0.076 0.500 0.729 1
Tl1 0.217 0.500 0.151 1
```

Computed properties:
As for the formation energy from the elements: -204 meV per atom. The calculation puts the density of states at the Fermi level at 0.860 states/eV per atom. Its spin magnetization is 0.0 μB per formula unit.

Below is a geometry-optimized HfMn3Pb structure, with properties calculated at the PBE-GGA level.

Structure (CIF):
```
data_HfMn3Pb
_chemical_formula_sum 'Hf1 Mn3 Pb1'
_cell_length_a 4.860
_cell_length_b 4.860
_cell_length_c 4.860
_cell_angle_alpha 90.00
_cell_angle_beta 90.00
_cell_angle_gamma 90.00
_symmetry_space_group_name_H-M 'P m -3 m'
_symmetry_Int_Tables_number 221
_symmetry_space_group_name_Hall '-P 4 2 3'
loop_
_atom_site_label
_atom_site_fract_x
_atom_site_fract_y
_atom_site_fract_z
_atom_site_occupancy
Hf1 0.000 0.000 0.000 1
Mn1 0.000 0.000 0.500 1
Pb1 0.500 0.500 0.500 1
```

Computed properties:
As for the formation energy from the elements: 1190 meV per atom. The calculation puts the density of states at the Fermi level at 0.548 states/eV per atom. Its spin magnetization is 9.4 μB per formula unit. The value obtained for the energy above the most stable polymorph in this dataset is 0.000 eV per atom.

Below is a geometry-optimized LaPm6Er3Tm2 structure, with properties calculated at the PBE-GGA level.

Structure (CIF):
```
data_LaPm6Er3Tm2
_chemical_formula_sum 'La2 Pm12 Er6 Tm4'
_cell_length_a 6.239
_cell_length_b 10.806
_cell_length_c 11.862
_cell_angle_alpha 90.00
_cell_angle_beta 100.09
_cell_angle_gamma 90.00
_symmetry_space_group_name_H-M 'C 1 2/m 1'
_symmetry_Int_Tables_number 12
_symmetry_space_group_name_Hall '-C 2y'
loop_
_atom_site_label
_atom_site_fract_x
_atom_site_fract_y
_atom_site_fract_z
_atom_site_occupancy
La1 0.000 0.000 0.000 1
Pm1 0.248 0.333 0.748 1
Pm2 0.250 0.000 0.747 1
Er1 0.000 0.167 0.500 1
Er2 0.000 0.500 0.500 1
Tm1 0.000 0.333 0.000 1
```

Computed properties:
As for the formation energy from the elements: 20 meV per atom. The calculation puts the density of states at the Fermi level at 1.236 states/eV per atom. Its spin magnetization is 0.0 μB per formula unit.

Below is a geometry-optimized MgInHIr2 structure, with properties calculated at the PBE-GGA level.

Structure (CIF):
```
data_MgInHIr2
_chemical_formula_sum 'Mg1 In1 H1 Ir2'
_cell_length_a 4.145
_cell_length_b 4.145
_cell_length_c 3.906
_cell_angle_alpha 90.00
_cell_angle_beta 90.00
_cell_angle_gamma 90.00
_symmetry_space_group_name_H-M 'P 4/m m m'
_symmetry_Int_Tables_number 123
_symmetry_space_group_name_Hall '-P 4 2'
loop_
_atom_site_label
_atom_site_fract_x
_atom_site_fract_y
_atom_site_fract_z
_atom_site_occupancy
Mg1 0.000 0.000 0.000 1
In1 0.500 0.500 0.000 1
H1 0.000 0.000 0.500 1
Ir1 0.000 0.500 0.500 1
```

Computed properties:
Its total energy is -26.2 eV/cell. The calculation puts the density of states at the Fermi level at 0.253 states/eV per atom. Its spin magnetization is 0.0 μB per formula unit.